Entry 1:
Here is LaTmMnAl after structural relaxation from the Alexandria database. Energies are from PBE.

Calculated values
The calculation puts the magnetic moment at 3.25 μB/cell. As for the calculated volume: 97.8 Å³/f.u. Its formation energy from the elements is -0.140 eV per formula unit.

Cell lengths 5.172, 5.172, 5.172 Å; angles 60.00, 60.00, 60.00 degrees
Atoms (fractional coordinates):
La (0.000, 0.000, 0.000)
Tm (0.500, 0.500, 0.500)
Mn (0.250, 0.250, 0.250)
Al (0.750, 0.750, 0.750)

=====

Entry 2:
Here is SiNi2Rh after structural relaxation from the Alexandria database. Energies are from PBE.

Calculated values
The calculation puts the magnetic moment at 0.00 μB/cell. As for the calculated volume: 48.1 Å³/f.u. The calculation puts the uncorrected formation energy at -0.29 eV per atom.

Cell lengths 4.335, 4.335, 2.731 Å; angles 90.00, 90.00, 110.33 degrees
Atoms (fractional coordinates):
Si (0.000, 0.000, 0.000)
Ni (0.000, 0.500, 0.500)
Ni (0.500, 0.000, 0.500)
Rh (0.500, 0.500, 0.000)

=====

Entry 3:
Here is TaIn2Au after structural relaxation from the Alexandria database. Energies are from PBE.

Calculated values
The calculation puts the magnetic moment at 0.00 μB/cell. As for the calculated volume: 80.0 Å³/f.u. The energy above the lowest structure with this stoichiometry is 9.9 meV/atom. Its formation energy from the elements is 0.320 eV per formula unit.

Cell lengths 5.268, 5.268, 3.025 Å; angles 90.00, 90.00, 107.59 degrees
Atoms (fractional coordinates):
Ta (0.000, 0.000, 0.000)
In (0.000, 0.500, 0.500)
In (0.500, 0.000, 0.500)
Au (0.500, 0.500, 0.000)

=====

Entry 4:
Here is Ba3Cd7Pt4 after structural relaxation from the Alexandria database. Energies are from PBE.

Calculated values
The calculation puts the magnetic moment at 0.00 μB/cell. As for the calculated volume: 355.4 Å³/f.u. Its formation energy from the elements is -6.828 eV per formula unit.

Cell lengths 9.001, 9.001, 10.607 Å; angles 123.42, 123.42, 30.24 degrees
Atoms (fractional coordinates):
Ba (0.000, 0.000, 0.000)
Ba (0.304, 0.304, 0.295)
Ba (0.696, 0.696, 0.705)
Cd (0.000, 0.000, 0.500)
Cd (0.161, 0.161, 0.426)
Cd (0.320, 0.320, 0.981)
Cd (0.493, 0.493, 0.711)
Cd (0.507, 0.507, 0.289)
Cd (0.680, 0.680, 0.019)
Cd (0.839, 0.839, 0.574)
Pt (0.113, 0.113, 0.823)
Pt (0.337, 0.337, 0.727)
Pt (0.663, 0.663, 0.273)
Pt (0.887, 0.887, 0.177)

=====

Entry 5:
Here is Pu12Si5Sn after structural relaxation from the Alexandria database. Energies are from PBE.

Calculated values
The calculation puts the magnetic moment at 22.77 μB/cell. As for the calculated volume: 422.9 Å³/f.u. The calculation puts the uncorrected formation energy at -0.17 eV per atom.

Cell lengths 8.196, 8.196, 8.196 Å; angles 112.06, 109.91, 106.49 degrees
Atoms (fractional coordinates):
Pu (0.035, 0.241, 0.794)
Pu (0.186, 0.264, 0.450)
Pu (0.186, 0.736, 0.922)
Pu (0.317, 0.036, 0.720)
Pu (0.317, 0.597, 0.280)
Pu (0.447, 0.241, 0.206)
Pu (0.553, 0.759, 0.794)
Pu (0.683, 0.403, 0.720)
Pu (0.683, 0.964, 0.280)
Pu (0.814, 0.264, 0.078)
Pu (0.814, 0.736, 0.550)
Pu (0.965, 0.759, 0.206)
Si (0.000, 0.000, 0.000)
Si (0.120, 0.620, 0.500)
Si (0.374, 0.000, 0.374)
Si (0.626, 0.000, 0.626)
Si (0.880, 0.380, 0.500)
Sn (0.500, 0.500, 0.000)

=====

Entry 6:
Here is Mg3NbAu after structural relaxation from the Alexandria database. Energies are from PBE.

Calculated values
The calculation puts the magnetic moment at 3.73 μB/cell. As for the calculated volume: 155.9 Å³/f.u. The energy above the lowest structure with this stoichiometry is 687.9 meV/atom. Its formation energy from the elements is 6.137 eV per formula unit.

Cell lengths 5.383, 5.383, 5.383 Å; angles 90.00, 90.00, 90.00 degrees
Atoms (fractional coordinates):
Mg (0.000, 0.000, 0.500)
Mg (0.000, 0.500, 0.000)
Mg (0.500, 0.000, 0.000)
Nb (0.000, 0.000, 0.000)
Au (0.500, 0.500, 0.500)

=====

Entry 7:
Here is Cu4Pd2Au after structural relaxation from the Alexandria database. Energies are from PBE.

Calculated values
The calculation puts the magnetic moment at 0.00 μB/cell. As for the calculated volume: 102.2 Å³/f.u. The energy above the lowest structure with this stoichiometry is 72.8 meV/atom. Its formation energy from the elements is 0.459 eV per formula unit.

Cell lengths 5.136, 5.136, 5.136 Å; angles 105.00, 105.00, 118.84 degrees
Atoms (fractional coordinates):
Cu (0.199, 0.199, 0.398)
Cu (0.199, 0.801, 0.000)
Cu (0.801, 0.199, 0.000)
Cu (0.801, 0.801, 0.602)
Pd (0.250, 0.750, 0.500)
Pd (0.750, 0.250, 0.500)
Au (0.500, 0.500, 0.000)

=====

Entry 8:
Here is FeS after structural relaxation from the Alexandria database. Energies are from PBE.

Calculated values
The calculation puts the magnetic moment at 11.95 μB/cell. As for the calculated volume: 26.3 Å³/f.u. The calculation puts the uncorrected formation energy at -0.25 eV per atom.

Cell lengths 6.778, 6.778, 5.278 Å; angles 90.00, 90.00, 120.00 degrees
Atoms (fractional coordinates):
Fe (0.000, 0.000, 0.000)
Fe (0.000, 0.000, 0.500)
Fe (0.055, 0.527, 0.041)
Fe (0.473, 0.527, 0.041)
Fe (0.473, 0.945, 0.041)
Fe (0.527, 0.055, 0.541)
Fe (0.527, 0.473, 0.541)
Fe (0.945, 0.473, 0.541)
S (0.160, 0.321, 0.783)
S (0.160, 0.840, 0.783)
S (0.321, 0.160, 0.283)
S (0.333, 0.667, 0.340)
S (0.667, 0.333, 0.840)
S (0.679, 0.840, 0.783)
S (0.840, 0.160, 0.283)
S (0.840, 0.679, 0.283)

=====

Entry 9:
Here is Tb4Pm4Er3 after structural relaxation from the Alexandria database. Energies are from PBE.

Calculated values
The calculation puts the magnetic moment at 0.00 μB/cell. As for the calculated volume: 355.5 Å³/f.u. The energy above the lowest structure with this stoichiometry is 0.0 meV/atom. Its formation energy from the elements is 0.653 eV per formula unit.

Cell lengths 3.532, 5.654, 18.114 Å; angles 98.96, 95.59, 90.01 degrees
Atoms (fractional coordinates):
Tb (0.045, 0.046, 0.091)
Tb (0.180, 0.680, 0.360)
Tb (0.820, 0.320, 0.640)
Tb (0.955, 0.954, 0.909)
Pm (0.090, 0.590, 0.180)
Pm (0.232, 0.232, 0.464)
Pm (0.768, 0.768, 0.536)
Pm (0.910, 0.410, 0.820)
Er (0.365, 0.864, 0.729)
Er (0.500, 0.500, 0.000)
Er (0.635, 0.136, 0.271)

=====

Entry 10:
Here is AlP2Cl after structural relaxation from the Alexandria database. Energies are from PBE.

Calculated values
The calculation puts the magnetic moment at 0.00 μB/cell. As for the calculated volume: 67.0 Å³/f.u. The energy above the lowest structure with this stoichiometry is 861.7 meV/atom. The calculation puts the uncorrected formation energy at 0.56 eV per atom.

Cell lengths 4.777, 4.777, 2.938 Å; angles 90.00, 90.00, 90.00 degrees
Atoms (fractional coordinates):
Al (0.000, 0.000, 0.000)
P (0.000, 0.500, 0.500)
P (0.500, 0.000, 0.500)
Cl (0.500, 0.500, 0.000)

=====

Entry 11:
Here is TbCeHgGe after structural relaxation from the Alexandria database. Energies are from PBE.

Calculated values
The calculation puts the magnetic moment at 1.02 μB/cell. As for the calculated volume: 101.0 Å³/f.u. Its formation energy from the elements is -1.994 eV per formula unit.

Cell lengths 5.227, 5.227, 5.227 Å; angles 60.00, 60.00, 60.00 degrees
Atoms (fractional coordinates):
Tb (0.000, 0.000, 0.000)
Ce (0.500, 0.500, 0.500)
Hg (0.250, 0.250, 0.250)
Ge (0.750, 0.750, 0.750)

=====

Entry 12:
Here is HgBiPd5 after structural relaxation from the Alexandria database. Energies are from PBE.

Calculated values
The calculation puts the magnetic moment at 0.00 μB/cell. As for the calculated volume: 129.9 Å³/f.u. The energy above the lowest structure with this stoichiometry is 0.0 meV/atom. Its formation energy from the elements is -1.240 eV per formula unit.

Cell lengths 4.093, 4.093, 7.755 Å; angles 90.00, 90.00, 90.00 degrees
Atoms (fractional coordinates):
Hg (0.000, 0.000, 0.000)
Bi (0.500, 0.500, 0.500)
Pd (0.000, 0.500, 0.260)
Pd (0.000, 0.500, 0.740)
Pd (0.500, 0.000, 0.260)
Pd (0.500, 0.000, 0.740)
Pd (0.500, 0.500, 0.000)

=====

Entry 13:
Here is HoAlZnPt3 after structural relaxation from the Alexandria database. Energies are from PBE.

Calculated values
The calculation puts the magnetic moment at 0.00 μB/cell. As for the calculated volume: 112.8 Å³/f.u. Its formation energy from the elements is -4.285 eV per formula unit.

Cell lengths 6.799, 6.799, 5.649 Å; angles 90.00, 90.00, 120.26 degrees
Atoms (fractional coordinates):
Ho (0.196, 0.804, 0.750)
Ho (0.804, 0.196, 0.250)
Al (0.129, 0.871, 0.250)
Al (0.871, 0.129, 0.750)
Zn (0.441, 0.559, 0.750)
Zn (0.559, 0.441, 0.250)
Pt (0.209, 0.209, 0.000)
Pt (0.209, 0.209, 0.500)
Pt (0.330, 0.670, 0.250)
Pt (0.670, 0.330, 0.750)
Pt (0.791, 0.791, 0.000)
Pt (0.791, 0.791, 0.500)

=====

Entry 14:
Here is Dy11Ho4Er9 after structural relaxation from the Alexandria database. Energies are from PBE.

Calculated values
The calculation puts the magnetic moment at 0.00 μB/cell. As for the calculated volume: 746.6 Å³/f.u. Its formation energy from the elements is 1.248 eV per formula unit.

Cell lengths 14.962, 14.962, 3.622 Å; angles 90.00, 90.00, 112.94 degrees
Atoms (fractional coordinates):
Dy (0.000, 0.000, 0.000)
Dy (0.045, 0.407, 0.000)
Dy (0.160, 0.840, 0.000)
Dy (0.292, 0.292, 0.000)
Dy (0.367, 0.633, 0.000)
Dy (0.407, 0.045, 0.000)
Dy (0.593, 0.955, 0.000)
Dy (0.633, 0.367, 0.000)
Dy (0.708, 0.708, 0.000)
Dy (0.840, 0.160, 0.000)
Dy (0.955, 0.593, 0.000)
Ho (0.244, 0.446, 0.500)
Ho (0.446, 0.244, 0.500)
Ho (0.554, 0.756, 0.500)
Ho (0.756, 0.554, 0.500)
Er (0.069, 0.214, 0.500)
Er (0.164, 0.632, 0.500)
Er (0.214, 0.069, 0.500)
Er (0.368, 0.836, 0.500)
Er (0.500, 0.500, 0.500)
Er (0.632, 0.164, 0.500)
Er (0.786, 0.931, 0.500)
Er (0.836, 0.368, 0.500)
Er (0.931, 0.786, 0.500)

=====

Entry 15:
Here is HfSe2O6 after structural relaxation from the Alexandria database. Energies are from PBE.

Calculated values
The calculation puts the magnetic moment at 0.00 μB/cell. As for the calculated volume: 155.7 Å³/f.u. The calculation puts the uncorrected formation energy at -1.67 eV per atom.

Cell lengths 7.330, 7.330, 7.330 Å; angles 41.41, 41.41, 41.41 degrees
Atoms (fractional coordinates):
Hf (0.000, 0.000, 0.000)
Se (0.234, 0.234, 0.234)
Se (0.433, 0.433, 0.433)
O (0.123, 0.347, 0.721)
O (0.223, 0.995, 0.593)
O (0.347, 0.721, 0.123)
O (0.593, 0.223, 0.995)
O (0.721, 0.123, 0.347)
O (0.995, 0.593, 0.223)

=====

Entry 16:
Here is MnRe3S after structural relaxation from the Alexandria database. Energies are from PBE.

Calculated values
The calculation puts the magnetic moment at 3.03 μB/cell. As for the calculated volume: 81.7 Å³/f.u. The energy above the lowest structure with this stoichiometry is 0.0 meV/atom. The calculation puts the uncorrected formation energy at 0.94 eV per atom.

Cell lengths 4.340, 4.340, 4.340 Å; angles 90.00, 90.00, 90.00 degrees
Atoms (fractional coordinates):
Mn (0.000, 0.000, 0.000)
Re (0.000, 0.500, 0.500)
Re (0.500, 0.000, 0.500)
Re (0.500, 0.500, 0.000)
S (0.500, 0.500, 0.500)

=====

Entry 17:
Here is Pu12Pd3Rh4 after structural relaxation from the Alexandria database. Energies are from PBE.

Calculated values
The calculation puts the magnetic moment at 66.89 μB/cell. As for the calculated volume: 557.1 Å³/f.u. Its formation energy from the elements is 0.074 eV per formula unit.

Cell lengths 8.978, 8.978, 8.978 Å; angles 109.47, 109.47, 109.47 degrees
Atoms (fractional coordinates):
Pu (0.112, 0.320, 0.793)
Pu (0.207, 0.527, 0.320)
Pu (0.207, 0.888, 0.680)
Pu (0.320, 0.207, 0.527)
Pu (0.320, 0.793, 0.112)
Pu (0.473, 0.680, 0.793)
Pu (0.527, 0.320, 0.207)
Pu (0.680, 0.207, 0.888)
Pu (0.680, 0.793, 0.473)
Pu (0.793, 0.112, 0.320)
Pu (0.793, 0.473, 0.680)
Pu (0.888, 0.680, 0.207)
Pd (0.000, 0.500, 0.500)
Pd (0.500, 0.000, 0.500)
Pd (0.500, 0.500, 0.000)
Rh (0.000, 0.000, 0.500)
Rh (0.000, 0.500, 0.000)
Rh (0.500, 0.000, 0.000)
Rh (0.500, 0.500, 0.500)

=====

Entry 18:
Here is KLa2Al after structural relaxation from the Alexandria database. Energies are from PBE.

Calculated values
The calculation puts the magnetic moment at 1.80 μB/cell. As for the calculated volume: 132.5 Å³/f.u. Its formation energy from the elements is 1.560 eV per formula unit.

Cell lengths 5.722, 5.722, 5.722 Å; angles 60.00, 60.00, 60.00 degrees
Atoms (fractional coordinates):
K (0.000, 0.000, 0.000)
La (0.500, 0.500, 0.500)
La (0.750, 0.750, 0.750)
Al (0.250, 0.250, 0.250)

=====

Entry 19:
Here is PmNdBiSb after structural relaxation from the Alexandria database. Energies are from PBE.

Calculated values
The calculation puts the magnetic moment at 0.00 μB/cell. As for the calculated volume: 121.5 Å³/f.u. The energy above the lowest structure with this stoichiometry is 285.0 meV/atom. The calculation puts the uncorrected formation energy at -0.78 eV per atom.

Cell lengths 5.560, 5.560, 5.560 Å; angles 60.00, 60.00, 60.00 degrees
Atoms (fractional coordinates):
Pm (0.000, 0.000, 0.000)
Nd (0.500, 0.500, 0.500)
Bi (0.750, 0.750, 0.750)
Sb (0.250, 0.250, 0.250)

=====

Entry 20:
Here is U3Co5S12 after structural relaxation from the Alexandria database. Energies are from PBE.

Calculated values
The calculation puts the magnetic moment at 11.04 μB/cell. As for the calculated volume: 356.6 Å³/f.u. The calculation puts the uncorrected formation energy at -0.79 eV per atom.

Cell lengths 12.282, 12.282, 12.282 Å; angles 109.47, 109.47, 109.47 degrees
Atoms (fractional coordinates):
U (0.125, 0.250, 0.375)
U (0.125, 0.375, 0.750)
U (0.250, 0.375, 0.125)
U (0.250, 0.875, 0.625)
U (0.375, 0.125, 0.250)
U (0.375, 0.750, 0.125)
U (0.625, 0.250, 0.875)
U (0.625, 0.875, 0.750)
U (0.750, 0.125, 0.375)
U (0.750, 0.625, 0.875)
U (0.875, 0.625, 0.250)
U (0.875, 0.750, 0.625)
Co (0.000, 0.000, 0.000)
Co (0.000, 0.000, 0.500)
Co (0.000, 0.500, 0.000)
Co (0.000, 0.500, 0.500)
Co (0.125, 0.750, 0.875)
Co (0.125, 0.875, 0.250)
Co (0.250, 0.125, 0.875)
Co (0.250, 0.625, 0.375)
Co (0.375, 0.250, 0.625)
Co (0.375, 0.625, 0.750)
Co (0.500, 0.000, 0.000)
Co (0.500, 0.000, 0.500)
Co (0.500, 0.500, 0.000)
Co (0.500, 0.500, 0.500)
Co (0.625, 0.375, 0.250)
Co (0.625, 0.750, 0.375)
Co (0.750, 0.375, 0.625)
Co (0.750, 0.875, 0.125)
Co (0.875, 0.125, 0.750)
Co (0.875, 0.250, 0.125)
S (0.030, 0.206, 0.118)
S (0.030, 0.324, 0.912)
S (0.088, 0.618, 0.412)
S (0.088, 0.706, 0.676)
S (0.088, 0.882, 0.412)
S (0.088, 0.970, 0.676)
S (0.118, 0.030, 0.206)
S (0.118, 0.588, 0.912)
S (0.176, 0.206, 0.588)
S (0.176, 0.470, 0.588)
S (0.206, 0.118, 0.030)
S (0.206, 0.588, 0.176)
S (0.294, 0.324, 0.912)
S (0.294, 0.470, 0.382)
S (0.324, 0.912, 0.030)
S (0.324, 0.912, 0.294)
S (0.382, 0.294, 0.470)
S (0.382, 0.588, 0.912)
S (0.412, 0.088, 0.618)
S (0.412, 0.088, 0.882)
S (0.412, 0.824, 0.530)
S (0.412, 0.824, 0.794)
S (0.470, 0.382, 0.294)
S (0.470, 0.588, 0.176)
S (0.530, 0.412, 0.824)
S (0.530, 0.618, 0.706)
S (0.588, 0.176, 0.206)
S (0.588, 0.176, 0.470)
S (0.588, 0.912, 0.118)
S (0.588, 0.912, 0.382)
S (0.618, 0.412, 0.088)
S (0.618, 0.706, 0.530)
S (0.676, 0.088, 0.706)
S (0.676, 0.088, 0.970)
S (0.706, 0.530, 0.618)
S (0.706, 0.676, 0.088)
S (0.794, 0.412, 0.824)
S (0.794, 0.882, 0.970)
S (0.824, 0.530, 0.412)
S (0.824, 0.794, 0.412)
S (0.882, 0.412, 0.088)
S (0.882, 0.970, 0.794)
S (0.912, 0.030, 0.324)
S (0.912, 0.118, 0.588)
S (0.912, 0.294, 0.324)
S (0.912, 0.382, 0.588)
S (0.970, 0.676, 0.088)
S (0.970, 0.794, 0.882)